Material: NaZnPSO3
Method: DFT, PBE
State: relaxed

Unit cell a=4.9277 b=5.0861 c=5.3459 alpha=112.16 beta=95.52 gamma=116.13
Atoms (fractional coordinates):
Na: 0.9220 0.8159 0.0420
O: 0.5361 0.8558 0.7937
P: 0.2516 0.5185 0.5598
S: 0.2890 0.5352 0.1827
O: 0.2432 0.2040 0.5390
Zn: 0.5732 0.0789 0.5281
O: 0.9349 0.4919 0.6046

V = 15.1 Å³ per atom
Final energy = -5.4738 eV/atom